Computed, not measured: Cs2HgMoP after structural relaxation at the PBE level of DFT.

## Properties
As for the space-group type: P4/mmm. The value obtained for the total energy is -13.26 eV per cell.

a b c (Å): 7.2755 4.7750 7.2755
angles (deg): 90.00 90.00 90.00
With the nearest neighbours (Å) after each atom.
Fractional positions:
Hg1 0.0000 0.0000 0.0000  2 P 2.39
Cs1 0.0000 0.0000 0.5000  2 Hg 3.64
Cs2 0.5000 0.0000 0.0000  2 Hg 3.64
Mo1 0.5000 0.5000 0.5000  8 Cs 4.35, 2 Mo 4.77
P1 0.0000 0.5000 0.0000  2 Hg 2.39


Computed, not measured: Cs2HgMoPt after structural relaxation at the PBE level of DFT.

## Properties
As for the space-group type: P4/mmm. The value obtained for the total energy is -14.89 eV per cell.

a b c (Å): 6.3768 4.7647 6.3768
angles (deg): 90.00 90.00 90.00
With the nearest neighbours (Å) after each atom.
Fractional positions:
Cs1 0.5000 0.0000 0.0000  2 Mo 3.19
Hg1 0.5000 0.5000 0.5000  8 Cs 3.98
Cs2 0.0000 0.0000 0.5000  2 Mo 3.19
Mo1 0.0000 0.0000 0.0000  2 Pt 2.38
Pt1 0.0000 0.5000 0.0000  2 Mo 2.38


Computed, not measured: Cs2HgMoS4 after structural relaxation at the PBE level of DFT.

## Properties
As for the space-group type: Fddd. The value obtained for the total energy is -71.04 eV per cell.

a b c (Å): 7.7742 7.5872 12.8244
angles (deg): 81.07 72.36 59.18
With the nearest neighbours (Å) after each atom.
Fractional positions:
S1 0.8174 0.8085 0.8976  1 Mo 2.21
Cs1 0.9308 0.5000 0.1384  4 S 3.62-3.86
Cs2 0.5692 0.5000 0.8616  4 S 3.62-3.86
S2 0.9326 0.6915 0.6024  1 Mo 2.21
Hg1 0.7500 0.5000 0.5000  4 S 3.11
S3 0.2265 0.3085 0.3976  1 Mo 2.21
Cs3 0.8192 0.0000 0.3616  4 S 3.62-3.86
Hg2 0.0000 0.0000 0.0000  4 S 3.11
Mo1 0.5000 0.0000 0.0000  4 S 2.21
Mo2 0.2500 0.5000 0.5000  4 S 2.21
Cs4 0.1808 0.0000 0.6384  4 S 3.62-3.86
S4 0.5235 0.1915 0.1024  1 Mo 2.21
S5 0.4650 0.3085 0.6024  1 Mo 2.21
S6 0.2850 0.1915 0.8976  1 Mo 2.21
S7 0.3759 0.6915 0.3976  1 Mo 2.21
S8 0.3741 0.8085 0.1024  1 Mo 2.21